1.
Entry from Alexandria via LeMat-Bulk: a relaxed MoAs2I crystal (GGA-PBE).

Structure (POSCAR):
```
MoAs2I
1.0
0.000 3.391 3.391
3.391 0.000 3.391
3.391 3.391 0.000
Mo As I
1 2 1
Cartesian
0.000 0.000 0.000 Mo
1.695 1.695 1.695 As
5.086 5.086 5.086 As
3.391 3.391 3.391 I
```

Formation energy (no corrections): 0.9591 eV per atom
Calculated volume: 19.5 Å³/atom
Offset from the most stable computed form: 0.484 eV/atom
Final energy: -4.461 eV per atom
Symmetry: Fm-3m, No. 225

---

2.
Entry from Alexandria via LeMat-Bulk: a relaxed MoAsI2N crystal (GGA-PBE).

Structure (POSCAR):
```
MoAsI2N
1.0
5.569 0.000 0.000
0.000 5.569 0.000
0.000 0.000 3.817
Mo As I N
1 1 2 1
Cartesian
0.000 0.000 0.000 Mo
2.784 2.784 1.908 As
0.000 2.784 0.000 I
2.784 0.000 0.000 I
0.000 0.000 1.908 N
```

Formation energy (no corrections): 0.5998 eV per atom
Calculated volume: 23.7 Å³/atom
Offset from the most stable computed form: 0.000 eV/atom
Final energy: -4.781 eV per atom
Symmetry: P4/mmm, No. 123

---

3.
Entry from Alexandria via LeMat-Bulk: a relaxed MoAsI2N crystal (GGA-PBE).

Structure (POSCAR):
```
MoAsI2N
1.0
5.963 0.000 0.000
0.000 5.963 0.000
0.000 0.000 3.694
Mo As I N
1 1 2 1
Cartesian
0.000 0.000 0.000 Mo
2.982 2.982 1.847 As
0.000 2.982 1.847 I
2.982 0.000 1.847 I
2.982 2.982 0.000 N
```

Formation energy (no corrections): 1.2531 eV per atom
Calculated volume: 26.3 Å³/atom
Offset from the most stable computed form: 0.653 eV/atom
Final energy: -4.128 eV per atom
Symmetry: P4/mmm, No. 123